Entry from the Alexandria database: FeIr2Ru at its PBEsol-relaxed geometry (SCAN).

Summary:
Symmetry ... P4/mmm, No. 123
Raw total energy ... -48.903 eV/atom
Energy above the most stable polymorph in this dataset ... 2.8 meV per atom
Formation enthalpy at 0 K ... -44 kJ/mol of formula units

abc: 2.6710 2.6710 7.3685
angles: 90.00 90.00 90.00
Closest atoms and distances in Å follow each position.
Atoms (fractional coordinates):
Fe  0.0000  0.0000  0.0000  8 Ir 2.60, 4 Fe 2.67
Ir  0.5000  0.5000  0.2432  4 Fe 2.60, 4 Ir 2.67, 4 Ru 2.67
Ir  0.5000  0.5000  0.7568  4 Fe 2.60, 4 Ir 2.67, 4 Ru 2.67
Ru  0.0000  0.0000  0.5000  4 Ru 2.67, 8 Ir 2.67

=====

Entry from the Alexandria database: FeIrRu at its PBEsol-relaxed geometry (SCAN).

Summary:
Symmetry ... Imm2, No. 44
Raw total energy ... -41.405 eV/atom
Energy above the most stable polymorph in this dataset ... 0.0 meV per atom
Formation enthalpy at 0 K ... -15 kJ/mol of formula units

abc: 2.6492 3.6707 7.8637
angles: 90.00 90.00 90.00
Closest atoms and distances in Å follow each position.
Atoms (fractional coordinates):
Fe  0.0000  0.0000  0.0000  5 Ru 2.60-2.65, 5 Ir 2.61-2.63, 2 Fe 2.65
Fe  0.5000  0.5000  0.5000  5 Ru 2.60-2.65, 5 Ir 2.61-2.63, 2 Fe 2.65
Ir  0.0000  0.0000  0.6659  5 Ru 2.59-2.63, 5 Fe 2.61-2.63, 2 Ir 2.65
Ir  0.5000  0.5000  0.1659  5 Ru 2.59-2.63, 5 Fe 2.61-2.63, 2 Ir 2.65
Ru  0.0000  0.0000  0.3369  5 Ir 2.59-2.63, 5 Fe 2.60-2.65, 2 Ru 2.65
Ru  0.5000  0.5000  0.8369  5 Ir 2.59-2.63, 5 Fe 2.60-2.65, 2 Ru 2.65

=====

Entry from the Alexandria database: FeIr2Ru at its PBEsol-relaxed geometry (SCAN).

Summary:
Symmetry ... C2/m, No. 12
Raw total energy ... -48.862 eV/atom
Energy above the most stable polymorph in this dataset ... 44.1 meV per atom
Formation enthalpy at 0 K ... -28 kJ/mol of formula units

abc: 8.7910 2.6671 4.5810
angles: 90.00 100.43 90.00
Closest atoms and distances in Å follow each position.
Atoms (fractional coordinates):
Fe  0.0000  0.0000  0.0000  6 Ir 2.63-2.66, 4 Ru 2.65, 2 Fe 2.67
Fe  0.5000  0.5000  0.0000  6 Ir 2.63-2.66, 4 Ru 2.65, 2 Fe 2.67
Ir  0.2479  0.5000  0.2467  3 Fe 2.63-2.66, 6 Ir 2.63-2.67, 3 Ru 2.65-2.67
Ir  0.2521  0.0000  0.7533  3 Fe 2.63-2.66, 6 Ir 2.63-2.67, 3 Ru 2.65-2.67
Ir  0.7479  0.0000  0.2467  3 Fe 2.63-2.66, 6 Ir 2.63-2.67, 3 Ru 2.65-2.67
Ir  0.7521  0.5000  0.7533  3 Fe 2.63-2.66, 6 Ir 2.63-2.67, 3 Ru 2.65-2.67
Ru  0.0000  0.5000  0.5000  6 Ir 2.65-2.67, 4 Fe 2.65, 2 Ru 2.67
Ru  0.5000  0.0000  0.5000  6 Ir 2.65-2.67, 4 Fe 2.65, 2 Ru 2.67

=====

Entry from the Alexandria database: FeIr2Ru at its PBEsol-relaxed geometry (SCAN).

Summary:
Symmetry ... I-4m2, No. 119
Raw total energy ... -48.864 eV/atom
Energy above the most stable polymorph in this dataset ... 42.3 meV per atom
Formation enthalpy at 0 K ... -29 kJ/mol of formula units

abc: 3.7194 3.7194 7.4656
angles: 90.00 90.00 90.00
Closest atoms and distances in Å follow each position.
Atoms (fractional coordinates):
Fe  0.0000  0.0000  0.0000  8 Ir 2.63, 4 Ru 2.63
Fe  0.5000  0.5000  0.5000  8 Ir 2.63, 4 Ru 2.63
Ir  0.0000  0.0000  0.5000  4 Fe 2.63, 4 Ru 2.63, 4 Ir 2.63
Ir  0.0000  0.5000  0.2500  4 Ru 2.63, 4 Fe 2.63, 4 Ir 2.63
Ir  0.5000  0.0000  0.7500  4 Ru 2.63, 4 Fe 2.63, 4 Ir 2.63
Ir  0.5000  0.5000  0.0000  4 Fe 2.63, 4 Ru 2.63, 4 Ir 2.63
Ru  0.0000  0.5000  0.7500  8 Ir 2.63, 4 Fe 2.63
Ru  0.5000  0.0000  0.2500  8 Ir 2.63, 4 Fe 2.63